The following is a GGA+U calculation of an optimized crystal structure of Sr3Tc2NiO9, from Alexandria.

Cell lengths 5.613, 5.613, 6.894 Å; angles 90.00, 90.00, 120.00 degrees
Sites, in units of the cell vectors:
Sr 0.000 0.000 0.000
Sr 0.333 0.667 0.647
Sr 0.667 0.333 0.353
Tc 0.333 0.667 0.162
Tc 0.667 0.333 0.838
Ni 0.000 0.000 0.500
O 0.000 0.500 0.000
O 0.171 0.341 0.325
O 0.171 0.829 0.325
O 0.341 0.171 0.675
O 0.500 0.000 0.000
O 0.500 0.500 0.000
O 0.659 0.829 0.325
O 0.829 0.171 0.675
O 0.829 0.659 0.675

## Properties
calculated volume: 12.54 Å³ per atom
space group: P-3m1, No. 164
E_tot: -6.904 eV/atom
crystal system: trigonal